No. 1
## Y2Pt (meta-GGA SCAN)

Data for a crystal of Y2Pt relaxed with PBEsol.

Structure (extended XYZ):
```
3
Lattice="-0.497 -4.762 -0.374 -0.134 -2.718 3.957 -4.109 -2.098 1.334" Properties=species:S:1:pos:R:3 pbc="T T T"
Y -3.555 -7.184 3.688
Y -1.185 -2.395 1.229
Pt 0.000 0.000 0.000
```

Calculated values
DFT formation energy   -3.24 eV per formula unit
Total magnetization   0.00 μB/f.u.
Mass density   7.90 g/cm3
DOS(E_F)   2.6 states/eV per cell
Uncorrected energy   -129.1 eV per formula unit

=====

No. 2
## Y2Pt (meta-GGA SCAN)

Data for a crystal of Y2Pt relaxed with PBEsol.

Structure (extended XYZ):
```
6
Lattice="-3.287 -0.719 -0.682 -0.643 -0.252 3.363 -0.929 13.321 -0.933" Properties=species:S:1:pos:R:3 pbc="T T T"
Pt -1.768 6.292 1.886
Pt 0.000 0.000 0.000
Y -2.530 11.220 0.357
Y -2.329 1.130 1.392
Y -2.726 4.443 -0.188
Y -3.455 7.674 -0.086
```

Calculated values
DFT formation energy   -2.68 eV per formula unit
Total magnetization   0.01 μB/f.u.
Mass density   7.98 g/cm3
DOS(E_F)   4.7 states/eV per cell
Uncorrected energy   -128.6 eV per formula unit

=====

No. 3
## YPt5 (meta-GGA SCAN)

Data for a crystal of YPt5 relaxed with PBEsol.

Structure (extended XYZ):
```
6
Lattice="-3.208 2.201 -3.513 -5.153 0.228 0.937 -2.272 4.606 1.050" Properties=species:S:1:pos:R:3 pbc="T T T"
Y 0.000 0.000 0.000
Pt -5.509 2.102 -1.475
Pt -2.658 1.759 -0.382
Pt -4.076 4.279 -1.419
Pt -6.638 4.393 -0.953
Pt -5.043 3.298 0.794
```

Calculated values
DFT formation energy   -4.25 eV per formula unit
Total magnetization   0.00 μB/f.u.
Mass density   17.35 g/cm3
DOS(E_F)   5.5 states/eV per cell
Uncorrected energy   -383.1 eV per formula unit

=====

No. 4
## YPt (meta-GGA SCAN)

Data for a crystal of YPt relaxed with PBEsol.

Structure (extended XYZ):
```
8
Lattice="-0.674 -4.385 -0.674 5.430 -0.760 -0.483 0.448 -1.115 6.799" Properties=species:S:1:pos:R:3 pbc="T T T"
Y 4.467 -4.702 3.714
Y 2.150 -2.281 5.223
Y 0.739 -1.558 1.929
Y 3.056 -3.978 0.419
Pt 1.621 -4.157 3.013
Pt 4.859 -2.807 5.935
Pt 3.584 -2.103 2.629
Pt 0.346 -3.452 -0.293
```

Calculated values
DFT formation energy   -2.98 eV per formula unit
Total magnetization   0.00 μB/f.u.
Mass density   11.06 g/cm3
DOS(E_F)   4.2 states/eV per cell
Uncorrected energy   -101.0 eV per formula unit

=====

No. 5
## Y2Pt (meta-GGA SCAN)

Data for a crystal of Y2Pt relaxed with PBEsol.

Structure (extended XYZ):
```
6
Lattice="3.703 0.000 0.000 -1.852 6.098 0.000 0.000 0.000 6.665" Properties=species:S:1:pos:R:3 pbc="T T T"
Y 1.852 0.253 1.383
Y 0.000 2.585 3.536
Y 0.000 5.845 4.716
Y 1.852 3.513 0.204
Pt 0.000 1.432 6.204
Pt 1.852 4.666 2.872
```

Calculated values
DFT formation energy   -3.26 eV per formula unit
Total magnetization   0.00 μB/f.u.
Mass density   8.23 g/cm3
DOS(E_F)   5.7 states/eV per cell
Uncorrected energy   -129.1 eV per formula unit

=====

No. 6
## Y2Pt (meta-GGA SCAN)

Data for a crystal of Y2Pt relaxed with PBEsol.

Structure (extended XYZ):
```
24
Lattice="9.304 0.000 0.000 4.652 8.058 0.000 4.652 2.686 7.597" Properties=species:S:1:pos:R:3 pbc="T T T"
Pt 13.956 5.945 6.445
Pt 13.956 8.058 3.457
Pt 15.786 9.114 6.445
Pt 12.127 9.114 6.445
Pt 9.304 7.484 3.051
Pt 9.304 5.372 6.039
Pt 7.475 4.315 3.051
Pt 11.134 4.315 3.051
Y 6.978 6.715 4.748
Y 11.630 6.715 4.748
Y 9.304 5.372 0.950
Y 9.304 2.686 4.748
Y 4.652 4.701 3.324
Y 2.907 3.693 0.475
Y 6.397 3.693 0.475
Y 2.907 1.679 3.324
Y 6.397 1.679 3.324
Y 4.652 0.671 0.475
Y 9.304 8.729 6.172
Y 6.397 7.050 1.425
Y 12.212 7.050 1.425
Y 6.397 3.693 6.172
Y 12.212 3.693 6.172
Y 9.304 2.015 1.425
```

Calculated values
DFT formation energy   -3.14 eV per formula unit
Total magnetization   0.00 μB/f.u.
Mass density   8.70 g/cm3
DOS(E_F)   24.0 states/eV per cell
Uncorrected energy   -129.0 eV per formula unit

=====

No. 7
## Y5Pt3 (meta-GGA SCAN)

Data for a crystal of Y5Pt3 relaxed with PBEsol.

Structure (extended XYZ):
```
16
Lattice="6.063 0.000 0.000 0.000 8.361 0.000 0.000 -4.180 7.241" Properties=species:S:1:pos:R:3 pbc="T T T"
Pt 4.547 -1.652 2.862
Pt 1.516 -2.528 4.379
Pt 4.547 2.528 4.379
Pt 1.516 5.056 0.000
Pt 1.516 1.652 2.862
Pt 4.547 3.305 0.000
Y 1.516 -1.031 1.786
Y 4.547 -3.149 5.455
Y 1.516 3.149 5.455
Y 4.547 6.298 0.000
Y 3.031 4.180 2.414
Y 0.000 4.180 2.414
Y 3.031 0.000 4.827
Y 0.000 0.000 4.827
Y 4.547 1.031 1.786
Y 1.516 2.062 0.000
```

Calculated values
DFT formation energy   -9.63 eV per formula unit
Total magnetization   0.00 μB/f.u.
Offset from the most stable computed form   0.00 eV per formula unit
Mass density   9.32 g/cm3
DOS(E_F)   12.4 states/eV per cell
Uncorrected energy   -359.4 eV per formula unit

=====

No. 8
## YZn2Pt (meta-GGA SCAN)

Data for a crystal of YZn2Pt relaxed with PBEsol.

Structure (extended XYZ):
```
4
Lattice="-3.112 1.136 -1.134 0.526 -1.995 -3.442 -0.806 -4.836 2.680" Properties=species:S:1:pos:R:3 pbc="T T T"
Pt -2.578 -1.699 0.591
Y -1.182 -4.041 -0.178
Zn -3.067 0.777 -0.919
Zn -1.635 -1.445 -1.752
```

Calculated values
DFT formation energy   -2.51 eV per formula unit
Total magnetization   0.00 μB/f.u.
Mass density   9.22 g/cm3
DOS(E_F)   2.0 states/eV per cell
Uncorrected energy   -127.6 eV per formula unit

=====

No. 9
## Y2ZnPt2 (meta-GGA SCAN)

Data for a crystal of Y2ZnPt2 relaxed with PBEsol.

Structure (extended XYZ):
```
10
Lattice="3.760 0.000 0.000 0.000 7.380 0.000 0.000 0.000 7.380" Properties=species:S:1:pos:R:3 pbc="T T T"
Y 1.880 1.250 4.941
Y 1.880 4.941 6.130
Y 1.880 6.130 2.440
Y 1.880 2.440 1.250
Zn 0.000 0.000 0.000
Zn 0.000 3.690 3.690
Pt 0.000 2.694 6.384
Pt 0.000 6.384 4.686
Pt 0.000 4.686 0.996
Pt 0.000 0.996 2.694
```

Calculated values
DFT formation energy   -5.81 eV per formula unit
Total magnetization   0.00 μB/f.u.
Mass density   10.27 g/cm3
DOS(E_F)   6.0 states/eV per cell
Uncorrected energy   -215.4 eV per formula unit

=====

No. 10
## YZn2Pt2 (meta-GGA SCAN)

Data for a crystal of YZn2Pt2 relaxed with PBEsol.

Structure (extended XYZ):
```
5
Lattice="3.774 0.000 0.000 0.000 3.774 0.000 -1.887 -1.887 6.195" Properties=species:S:1:pos:R:3 pbc="T T T"
Y 0.000 0.000 0.000
Zn 0.000 1.887 3.097
Zn 1.887 0.000 3.097
Pt 0.000 0.000 4.858
Pt 1.887 1.887 1.337
```

Calculated values
DFT formation energy   -4.82 eV per formula unit
Total magnetization   0.00 μB/f.u.
Mass density   11.48 g/cm3
DOS(E_F)   2.2 states/eV per cell
Uncorrected energy   -200.1 eV per formula unit

=====

No. 11
## YZn4Pt (meta-GGA SCAN)

Data for a crystal of YZn4Pt relaxed with PBEsol.

Structure (extended XYZ):
```
6
Lattice="-4.205 2.313 1.719 -4.597 -1.689 -1.414 -3.002 -2.353 3.382" Properties=species:S:1:pos:R:3 pbc="T T T"
Pt -8.853 -1.297 2.765
Y 0.000 0.000 0.000
Zn -4.436 -0.650 1.385
Zn -5.928 -1.819 3.065
Zn -6.525 0.499 2.239
Zn -6.720 -1.489 0.683
```

Calculated values
DFT formation energy   -2.85 eV per formula unit
Total magnetization   0.00 μB/f.u.
Mass density   9.67 g/cm3
DOS(E_F)   4.6 states/eV per cell
Uncorrected energy   -154.9 eV per formula unit

=====

No. 12
## YZn2Pt (meta-GGA SCAN)

Data for a crystal of YZn2Pt relaxed with PBEsol.

Structure (extended XYZ):
```
4
Lattice="4.617 0.000 0.000 2.308 3.998 0.000 2.308 1.333 3.770" Properties=species:S:1:pos:R:3 pbc="T T T"
Pt 4.617 2.666 1.885
Y 2.308 1.333 0.942
Zn 0.000 0.000 0.000
Zn 6.925 3.998 2.827
```

Calculated values
DFT formation energy   -2.66 eV per formula unit
Total magnetization   0.00 μB/f.u.
Mass density   9.90 g/cm3
DOS(E_F)   1.8 states/eV per cell
Uncorrected energy   -127.7 eV per formula unit

=====

No. 13
## YZnPt3 (meta-GGA SCAN)

Data for a crystal of YZnPt3 relaxed with PBEsol.

Structure (extended XYZ):
```
5
Lattice="-2.397 2.972 -3.188 2.635 -1.911 -3.762 -3.472 -3.502 -0.653" Properties=species:S:1:pos:R:3 pbc="T T T"
Y 0.000 0.000 0.000
Zn -1.617 -1.220 -3.802
Pt 1.317 -0.955 -1.881
Pt -1.736 -1.751 -0.327
Pt -1.199 1.486 -1.594
```

Calculated values
DFT formation energy   5.40 eV per formula unit
Total magnetization   0.00 μB/f.u.
Mass density   9.98 g/cm3
DOS(E_F)   3.3 states/eV per cell
Uncorrected energy   -246.5 eV per formula unit